## NdUCu2O8 (GGA-PBE)

Data for a geometry-optimized NdUCu2O8 structure.

Output
Total energy, eV/atom: -7.031
Symmetry: No. 119
V, Å³/atom: 13.74
Uncorrected formation energy, eV/f.u.: -20.453

Lattice parameters (Å, degrees): 5.985 5.985 5.985 108.55 108.55 111.33
Atoms (fractional coordinates):
Nd  0.000  0.000  0.000
U  0.750  0.250  0.500
Cu  0.250  0.750  0.500
Cu  0.500  0.500  0.000
O  0.045  0.377  0.332
O  0.045  0.712  0.668
O  0.106  0.308  0.799
O  0.288  0.955  0.332
O  0.509  0.308  0.201
O  0.623  0.955  0.668
O  0.692  0.491  0.799
O  0.692  0.894  0.201

## Be2InBr (GGA-PBE)

Data for a geometry-optimized Be2InBr structure.

Output
Total energy, eV/atom: -2.205
Symmetry: No. 47
V, Å³/atom: 19.59
Uncorrected formation energy, eV/f.u.: 3.046

Lattice parameters (Å, degrees): 3.201 4.060 6.030 90.00 90.00 90.00
Atoms (fractional coordinates):
Be  0.000  0.000  0.000
Be  0.500  0.000  0.500
In  0.000  0.500  0.500
Br  0.500  0.500  0.000

## Sr2Ge3Au9 (GGA-PBE)

Data for a geometry-optimized Sr2Ge3Au9 structure.

Output
Total energy, eV/atom: -3.665
Symmetry: No. 15
DFT formation energy, eV per atom: -0.329
V, Å³/atom: 20.79

Lattice parameters (Å, degrees): 8.309 8.309 11.094 113.31 113.31 58.50
Atoms (fractional coordinates):
Sr  0.085  0.251  0.242
Sr  0.251  0.085  0.742
Sr  0.749  0.915  0.258
Sr  0.915  0.749  0.758
Ge  0.000  0.500  0.000
Ge  0.131  0.695  0.509
Ge  0.305  0.869  0.991
Ge  0.500  0.000  0.500
Ge  0.695  0.131  0.009
Ge  0.869  0.305  0.491
Au  0.034  0.847  0.092
Au  0.153  0.966  0.408
Au  0.195  0.363  0.569
Au  0.217  0.567  0.269
Au  0.310  0.487  0.946
Au  0.363  0.195  0.069
Au  0.363  0.637  0.750
Au  0.433  0.783  0.231
Au  0.487  0.310  0.446
Au  0.513  0.690  0.554
Au  0.567  0.217  0.769
Au  0.637  0.363  0.250
Au  0.637  0.805  0.931
Au  0.690  0.513  0.054
Au  0.783  0.433  0.731
Au  0.805  0.637  0.431
Au  0.847  0.034  0.592
Au  0.966  0.153  0.908

## Dy3UGa12 (GGA-PBE)

Data for a geometry-optimized Dy3UGa12 structure.

Output
Total energy, eV/atom: -4.301
Symmetry: No. 123
DFT formation energy, eV per atom: -0.463
V, Å³/atom: 19.40

Lattice parameters (Å, degrees): 4.250 4.250 17.184 90.00 90.00 90.00
Atoms (fractional coordinates):
Dy  0.000  0.000  0.000
Dy  0.000  0.000  0.250
Dy  0.000  0.000  0.750
U  0.000  0.000  0.500
Ga  0.000  0.500  0.125
Ga  0.000  0.500  0.376
Ga  0.000  0.500  0.624
Ga  0.000  0.500  0.875
Ga  0.500  0.000  0.125
Ga  0.500  0.000  0.376
Ga  0.500  0.000  0.624
Ga  0.500  0.000  0.875
Ga  0.500  0.500  0.000
Ga  0.500  0.500  0.251
Ga  0.500  0.500  0.500
Ga  0.500  0.500  0.749

Please write out number 3 again, unchanged.
## Sr2Ge3Au9 (GGA-PBE)

Data for a geometry-optimized Sr2Ge3Au9 structure.

Output
Total energy, eV/atom: -3.665
Symmetry: No. 15
DFT formation energy, eV per atom: -0.329
V, Å³/atom: 20.79

Lattice parameters (Å, degrees): 8.309 8.309 11.094 113.31 113.31 58.50
Atoms (fractional coordinates):
Sr  0.085  0.251  0.242
Sr  0.251  0.085  0.742
Sr  0.749  0.915  0.258
Sr  0.915  0.749  0.758
Ge  0.000  0.500  0.000
Ge  0.131  0.695  0.509
Ge  0.305  0.869  0.991
Ge  0.500  0.000  0.500
Ge  0.695  0.131  0.009
Ge  0.869  0.305  0.491
Au  0.034  0.847  0.092
Au  0.153  0.966  0.408
Au  0.195  0.363  0.569
Au  0.217  0.567  0.269
Au  0.310  0.487  0.946
Au  0.363  0.195  0.069
Au  0.363  0.637  0.750
Au  0.433  0.783  0.231
Au  0.487  0.310  0.446
Au  0.513  0.690  0.554
Au  0.567  0.217  0.769
Au  0.637  0.363  0.250
Au  0.637  0.805  0.931
Au  0.690  0.513  0.054
Au  0.783  0.433  0.731
Au  0.805  0.637  0.431
Au  0.847  0.034  0.592
Au  0.966  0.153  0.908